Pm7Y3 | PBE | optimized geometry

a b c (Å): 11.728 11.728 5.752
angles (deg): 90.00 90.00 120.00
Sites, in units of the cell vectors:
Pm: 0.050 0.525 0.000
Pm: 0.114 0.228 0.002
Pm: 0.114 0.886 0.002
Pm: 0.228 0.114 0.502
Pm: 0.333 0.667 0.003
Pm: 0.475 0.525 0.000
Pm: 0.475 0.950 0.000
Pm: 0.525 0.050 0.500
Pm: 0.525 0.475 0.500
Pm: 0.667 0.333 0.503
Pm: 0.772 0.886 0.002
Pm: 0.886 0.114 0.502
Pm: 0.886 0.772 0.502
Pm: 0.950 0.475 0.500
Y: 0.224 0.447 0.502
Y: 0.224 0.776 0.502
Y: 0.447 0.224 0.002
Y: 0.553 0.776 0.502
Y: 0.776 0.224 0.002
Y: 0.776 0.553 0.002

Computed properties:
energy relative to the elements: 150 meV per atom
ΔE to the lowest computed polymorph: 137 meV/atom
crystal system: hexagonal

Sc2IBr | PBE | optimized geometry

a b c (Å): 5.142 5.142 17.859
angles (deg): 90.00 90.00 90.00
Sites, in units of the cell vectors:
Sc: 0.216 0.250 0.125
Sc: 0.250 0.716 0.375
Sc: 0.250 0.784 0.875
Sc: 0.284 0.250 0.625
Sc: 0.716 0.750 0.625
Sc: 0.750 0.216 0.875
Sc: 0.750 0.284 0.375
Sc: 0.784 0.750 0.125
I: 0.000 0.000 0.500
I: 0.000 0.500 0.750
I: 0.500 0.000 0.250
I: 0.500 0.500 0.000
Br: 0.000 0.000 0.000
Br: 0.000 0.500 0.250
Br: 0.500 0.000 0.750
Br: 0.500 0.500 0.500

Computed properties:
formation energy (no corrections): -1.7 eV per formula unit
ΔE to the lowest computed polymorph: 81 meV/atom
crystal system: tetragonal

Nd6Si2HgBr3 | PBE | optimized geometry

a b c (Å): 9.777 9.777 8.886
angles (deg): 103.57 103.57 25.32
Sites, in units of the cell vectors:
Nd: 0.010 0.010 0.251
Nd: 0.325 0.325 0.436
Nd: 0.334 0.334 0.887
Nd: 0.666 0.666 0.113
Nd: 0.675 0.675 0.564
Nd: 0.990 0.990 0.749
Si: 0.167 0.167 0.336
Si: 0.833 0.833 0.664
Hg: 0.500 0.500 0.000
Br: 0.168 0.168 0.833
Br: 0.500 0.500 0.500
Br: 0.832 0.832 0.167

Computed properties:
formation energy (no corrections): -11.6 eV per formula unit
crystal system: monoclinic

SrPuZnHg | PBE | optimized geometry

a b c (Å): 7.652 7.652 7.652
angles (deg): 90.00 90.00 90.00
Sites, in units of the cell vectors:
Sr: 0.000 0.000 0.000
Sr: 0.000 0.500 0.500
Sr: 0.500 0.000 0.500
Sr: 0.500 0.500 0.000
Pu: 0.000 0.000 0.500
Pu: 0.000 0.500 0.000
Pu: 0.500 0.000 0.000
Pu: 0.500 0.500 0.500
Zn: 0.250 0.250 0.750
Zn: 0.250 0.750 0.250
Zn: 0.750 0.250 0.250
Zn: 0.750 0.750 0.750
Hg: 0.250 0.250 0.250
Hg: 0.250 0.750 0.750
Hg: 0.750 0.250 0.750
Hg: 0.750 0.750 0.250

Computed properties:
energy relative to the elements: -114 meV per atom
crystal system: cubic

LaPr2Y5Th | PBE | optimized geometry

a b c (Å): 10.022 10.022 10.022
angles (deg): 128.13 128.13 76.41
Sites, in units of the cell vectors:
La: 0.250 0.750 0.500
La: 0.750 0.250 0.500
Pr: 0.117 0.617 0.735
Pr: 0.383 0.117 0.500
Pr: 0.617 0.883 0.500
Pr: 0.883 0.383 0.265
Y: 0.000 0.000 0.000
Y: 0.072 0.151 0.500
Y: 0.151 0.651 0.078
Y: 0.349 0.428 0.500
Y: 0.428 0.928 0.078
Y: 0.500 0.500 0.000
Y: 0.572 0.072 0.922
Y: 0.651 0.572 0.500
Y: 0.849 0.349 0.922
Y: 0.928 0.849 0.500
Th: 0.250 0.250 0.000
Th: 0.750 0.750 0.000

Computed properties:
energy relative to the elements: 265 meV per atom
crystal system: tetragonal

NbSiNi | PBE | optimized geometry

a b c (Å): 3.802 6.360 6.835
angles (deg): 90.00 90.00 90.00
Sites, in units of the cell vectors:
Nb: 0.000 0.000 0.000
Nb: 0.000 0.500 0.093
Nb: 0.500 0.000 0.593
Nb: 0.500 0.500 0.500
Si: 0.000 0.284 0.704
Si: 0.000 0.716 0.704
Si: 0.500 0.216 0.204
Si: 0.500 0.784 0.204
Ni: 0.000 0.194 0.378
Ni: 0.000 0.806 0.378
Ni: 0.500 0.306 0.878
Ni: 0.500 0.694 0.878

Computed properties:
formation energy (no corrections): -2.0 eV per formula unit
crystal system: orthorhombic

| no. | magnetic moment (μB/cell) | ρ (Mg/m³) |
| --- | --- | --- |
| 1 | 0.0 | 6.21 |
| 2 | 13.9 | 4.17 |
| 3 | 0.0 | 6.41 |
| 4 | 24.2 | 8.86 |
| 5 | 0.0 | 6.02 |
| 6 | 0.0 | 7.22 |